BC2 | PBE-GGA | optimized geometry

Cell lengths 2.6047, 4.5887, 6.4398 Å; angles 92.01, 90.00, 90.00 degrees
Element x y z (fractional)
B  0.0000  0.0013  0.0108
C  0.0000  0.6663  0.8984
C  0.5000  0.8356  0.3403
C  0.5000  0.1648  0.9047
B  0.0000  0.3263  0.6195
B  0.0000  0.3382  0.2860
B  0.5000  0.5038  0.0001
C  0.5000  0.5200  0.2534
C  0.5000  0.1453  0.6738
C  0.0000  0.6744  0.6631
C  0.0000  0.9944  0.2670
C  0.5000  0.8295  0.5831

- Offset from the most stable computed form: 46 meV/atom
- Calculated formation energy: 0.286 eV/atom

***

YScBeMo2 | PBE-GGA | optimized geometry

Cell lengths 4.8521, 4.7244, 4.8521 Å; angles 90.00, 90.00, 90.00 degrees
Site moments in Bohr magnetons follow the coordinates.
Element x y z (fractional)
Y  0.0000  0.0000  0.0000  0.10
Mo  0.5000  0.0000  0.0000  0.78
Be  0.0000  0.5000  0.0000  -0.04
Mo  0.0000  0.0000  0.5000  0.70
Sc  0.5000  0.5000  0.5000  0.03

- Calculated formation energy: 1.847 eV/atom

***

- calculated formation energy of number 2 (YScBeMo2)?
  1.847 eV/atom